Record 1
The following is a DFT calculation (PBE) of crystalline Dy2ErCd at its relaxed geometry.

Unit cell a=3.916 b=5.381 c=5.381 alpha=90.00 beta=90.00 gamma=90.00
Fractional coordinates of all 4 atoms:
Cd (0.500, 0.000, 0.000)
Dy (0.000, 0.000, 0.500)
Dy (0.000, 0.500, 0.000)
Er (0.500, 0.500, 0.500)

For the total energy, the calculation gives -14.9 eV for the cell shown. The calculation puts the formation energy at -58 meV/atom. As for the space group: No. 123.

---

Record 2
The following is a DFT calculation (PBE) of crystalline CsAg2Hg at its relaxed geometry.

Unit cell a=4.952 b=4.952 c=7.042 alpha=69.40 beta=69.40 gamma=59.95
Fractional coordinates of all 4 atoms:
Cs (0.501, 0.501, 0.495)
Ag (0.992, 0.992, 0.023)
Ag (0.315, 0.315, 0.056)
Hg (0.691, 0.691, 0.926)

For the total energy, the calculation gives -7.1 eV for the cell shown. The calculation puts the formation energy at -59 meV/atom. As for the space group: No. 160.